[1]
# IrOsBr2N

A PBEsol-optimized structure of IrOsBr2N (SCAN, Alexandria via LeMat-Bulk).

Properties
SG: P4/mmm (123)
Formation energy without anion corrections: 2.109 eV per atom
Total DFT energy (no corrections): -36.1290 eV per atom
Magnetization: 5.08 μB per formula unit
Volume: 24.8 Å³/atom

The structure in CIF format:
```
data_IrOsBr2N
_symmetry_space_group_name_H-M 'P 1'
_symmetry_Int_Tables_number 1
_symmetry_space_group_name_Hall 'P 1'
_cell_length_a 5.1040
_cell_length_b 5.1040
_cell_length_c 4.7567
_cell_angle_alpha 90.00
_cell_angle_beta 90.00
_cell_angle_gamma 90.00
loop_
_atom_site_label
_atom_site_fract_x
_atom_site_fract_y
_atom_site_fract_z
Ir1 0.0000 0.0000 0.0000
Os1 0.0000 0.0000 0.5000
Br1 0.0000 0.5000 0.0000
Br2 0.5000 0.0000 0.0000
N1 0.5000 0.5000 0.5000
```

***

[2]
# OsSeBr2N

A PBEsol-optimized structure of OsSeBr2N (SCAN, Alexandria via LeMat-Bulk).

Properties
SG: P4/mmm (123)
Formation energy without anion corrections: 2.023 eV per atom
Total DFT energy (no corrections): -26.0107 eV per atom
Magnetization: 3.36 μB per formula unit
Volume: 17.4 Å³/atom

The structure in CIF format:
```
data_OsSeBr2N
_symmetry_space_group_name_H-M 'P 1'
_symmetry_Int_Tables_number 1
_symmetry_space_group_name_Hall 'P 1'
_cell_length_a 4.2638
_cell_length_b 4.2638
_cell_length_c 4.7814
_cell_angle_alpha 90.00
_cell_angle_beta 90.00
_cell_angle_gamma 90.00
loop_
_atom_site_label
_atom_site_fract_x
_atom_site_fract_y
_atom_site_fract_z
Os1 0.0000 0.0000 0.0000
Se1 0.5000 0.5000 0.0000
Br1 0.0000 0.5000 0.5000
Br2 0.5000 0.0000 0.5000
N1 0.5000 0.5000 0.5000
```

***

[3]
# LiMgCu2Se

A PBEsol-optimized structure of LiMgCu2Se (SCAN, Alexandria via LeMat-Bulk).

Properties
SG: P4/mmm (123)
Formation energy without anion corrections: 0.715 eV per atom
Total DFT energy (no corrections): -10.8533 eV per atom
Magnetization: 0.00 μB per formula unit
Volume: 19.7 Å³/atom

The structure in CIF format:
```
data_LiMgCu2Se
_symmetry_space_group_name_H-M 'P 1'
_symmetry_Int_Tables_number 1
_symmetry_space_group_name_Hall 'P 1'
_cell_length_a 4.5165
_cell_length_b 4.5165
_cell_length_c 4.8223
_cell_angle_alpha 90.00
_cell_angle_beta 90.00
_cell_angle_gamma 90.00
loop_
_atom_site_label
_atom_site_fract_x
_atom_site_fract_y
_atom_site_fract_z
Li1 0.0000 0.0000 0.0000
Mg1 0.0000 0.0000 0.5000
Cu1 0.0000 0.5000 0.5000
Cu2 0.5000 0.0000 0.5000
Se1 0.5000 0.5000 0.0000
```

***

[4]
# CaTcS2

A PBEsol-optimized structure of CaTcS2 (SCAN, Alexandria via LeMat-Bulk).

Properties
SG: I-42d (122)
Formation energy without anion corrections: -0.908 eV per atom
Total DFT energy (no corrections): -16.9030 eV per atom
Magnetization: 0.00 μB per formula unit
Volume: 22.3 Å³/atom

The structure in CIF format:
```
data_CaTcS2
_symmetry_space_group_name_H-M 'P 1'
_symmetry_Int_Tables_number 1
_symmetry_space_group_name_Hall 'P 1'
_cell_length_a 5.4139
_cell_length_b 5.4139
_cell_length_c 12.1871
_cell_angle_alpha 90.00
_cell_angle_beta 90.00
_cell_angle_gamma 90.00
loop_
_atom_site_label
_atom_site_fract_x
_atom_site_fract_y
_atom_site_fract_z
Ca1 0.0000 0.0000 0.0000
Ca2 0.0000 0.5000 0.2500
Ca3 0.5000 0.0000 0.7500
Ca4 0.5000 0.5000 0.5000
Tc1 0.0000 0.0000 0.5000
Tc2 0.0000 0.5000 0.7500
Tc3 0.5000 0.0000 0.2500
Tc4 0.5000 0.5000 0.0000
S1 0.1758 0.2500 0.6250
S2 0.2500 0.6758 0.8750
S3 0.2500 0.8242 0.3750
S4 0.3242 0.2500 0.1250
S5 0.6758 0.7500 0.1250
S6 0.7500 0.1758 0.3750
S7 0.7500 0.3242 0.8750
S8 0.8242 0.7500 0.6250
```

***

[5]
# LaTcOs2

A PBEsol-optimized structure of LaTcOs2 (SCAN, Alexandria via LeMat-Bulk).

Properties
DFT formation energy: 488 meV per atom
SG: Pm (6)
Total DFT energy (no corrections): -54.9933 eV per atom
Magnetization: 0.00 μB per formula unit
Volume: 17.7 Å³/atom

The structure in CIF format:
```
data_LaTcOs2
_symmetry_space_group_name_H-M 'P 1'
_symmetry_Int_Tables_number 1
_symmetry_space_group_name_Hall 'P 1'
_cell_length_a 2.8662
_cell_length_b 4.3534
_cell_length_c 5.7282
_cell_angle_alpha 90.00
_cell_angle_beta 98.42
_cell_angle_gamma 90.00
loop_
_atom_site_label
_atom_site_fract_x
_atom_site_fract_y
_atom_site_fract_z
La1 0.0000 0.0000 0.0000
Tc1 0.2289 0.5000 0.6567
Os1 0.6011 0.5000 0.2682
Os2 0.6350 0.0000 0.5076
```

***

[6]
# Hg7Cl2O3

A PBEsol-optimized structure of Hg7Cl2O3 (SCAN, Alexandria via LeMat-Bulk).

Properties
SG: Pbcm (57)
Formation energy without anion corrections: -0.387 eV per atom
Total DFT energy (no corrections): -43.0379 eV per atom
Magnetization: 0.00 μB per formula unit
Volume: 22.2 Å³/atom

The structure in CIF format:
```
data_Hg7Cl2O3
_symmetry_space_group_name_H-M 'P 1'
_symmetry_Int_Tables_number 1
_symmetry_space_group_name_Hall 'P 1'
_cell_length_a 6.4945
_cell_length_b 11.8479
_cell_length_c 13.8788
_cell_angle_alpha 90.00
_cell_angle_beta 90.00
_cell_angle_gamma 90.00
loop_
_atom_site_label
_atom_site_fract_x
_atom_site_fract_y
_atom_site_fract_z
Hg1 0.0000 0.0000 0.0000
Hg2 0.0000 0.0000 0.5000
Hg3 0.0000 0.5000 0.0000
Hg4 0.0000 0.5000 0.5000
Hg5 0.1362 0.0433 0.2500
Hg6 0.1362 0.4567 0.7500
Hg7 0.1719 0.2396 0.7500
Hg8 0.1719 0.2604 0.2500
Hg9 0.3172 0.7087 0.6304
Hg10 0.3172 0.7087 0.8696
Hg11 0.3172 0.7913 0.1304
Hg12 0.3172 0.7913 0.3696
Hg13 0.4702 0.1171 0.0818
Hg14 0.4702 0.1171 0.4182
Hg15 0.4702 0.3829 0.5818
Hg16 0.4702 0.3829 0.9182
Hg17 0.5298 0.6171 0.0818
Hg18 0.5298 0.6171 0.4182
Hg19 0.5298 0.8829 0.5818
Hg20 0.5298 0.8829 0.9182
Hg21 0.6828 0.2087 0.6304
Hg22 0.6828 0.2087 0.8696
Hg23 0.6828 0.2913 0.1304
Hg24 0.6828 0.2913 0.3696
Hg25 0.8281 0.7396 0.7500
Hg26 0.8281 0.7604 0.2500
Hg27 0.8638 0.5433 0.2500
Hg28 0.8638 0.9567 0.7500
Cl1 0.0728 0.2500 0.0000
Cl2 0.0728 0.2500 0.5000
Cl3 0.3378 0.0497 0.7500
Cl4 0.3378 0.4503 0.2500
Cl5 0.6622 0.5497 0.7500
Cl6 0.6622 0.9503 0.2500
Cl7 0.9272 0.7500 0.0000
Cl8 0.9272 0.7500 0.5000
O1 0.1325 0.6338 0.7500
O2 0.1325 0.8662 0.2500
O3 0.2878 0.5298 0.5523
O4 0.2878 0.5298 0.9477
O5 0.2878 0.9702 0.0523
O6 0.2878 0.9702 0.4477
O7 0.7122 0.0298 0.5523
O8 0.7122 0.0298 0.9477
O9 0.7122 0.4702 0.0523
O10 0.7122 0.4702 0.4477
O11 0.8675 0.1338 0.7500
O12 0.8675 0.3662 0.2500
```